1.
{"formula": "YZnOs2", "functional": "PBE", "state": "relaxed", "lattice_angstrom": [[-3.747, -1.527, 1.692], [1.290, -2.657, 0.459], [2.027, 0.498, 4.937]], "species": ["Os", "Os", "Y", "Zn"], "fractional_positions": [[0.000, 0.891, 0.031], [0.500, 0.231, 0.184], [0.000, 0.480, 0.531], [0.500, 0.899, 0.754]], "e_tot_ev_per_atom": -7.39, "formation_enthalpy_0k_ev_per_atom": 0.155}

2.
{"formula": "ZrUAl4", "functional": "PBE", "state": "relaxed", "lattice_angstrom": [[-1.308, 1.565, 5.037], [2.219, -2.500, 4.285], [3.652, 2.600, 3.072]], "species": ["Al", "Al", "Al", "Al", "U", "Zr"], "fractional_positions": [[0.625, 0.125, 0.625], [0.625, 0.625, 0.625], [0.625, 0.625, 0.125], [0.125, 0.625, 0.625], [0.250, 0.250, 0.250], [0.000, 0.000, 0.000]], "e_tot_ev_per_atom": -6.03, "formation_enthalpy_0k_ev_per_atom": -0.229}

3.
{"formula": "PaAg3F8", "functional": "PBE", "state": "relaxed", "lattice_angstrom": [[-4.790, 3.617, 1.674], [-0.803, -3.988, -4.720], [-2.447, -5.637, 5.179]], "species": ["F", "F", "F", "F", "F", "F", "F", "F", "Ag", "Ag", "Ag", "Pa"], "fractional_positions": [[0.287, 0.250, 0.688], [0.302, 0.698, 0.500], [0.713, 0.750, 0.688], [0.300, 0.700, 0.000], [0.698, 0.302, 0.500], [0.700, 0.300, 0.000], [0.750, 0.713, 0.312], [0.250, 0.287, 0.312], [0.500, 0.000, 0.803], [0.500, 0.500, 0.000], [0.000, 0.500, 0.197], [0.500, 0.500, 0.500]], "e_tot_ev_per_atom": -5.08, "e_form_raw_mev_per_atom": -2330}

4.
{"formula": "CeHoNi", "functional": "PBE", "state": "relaxed", "lattice_angstrom": [[4.745, 0.000, 0.000], [2.373, 4.110, 0.000], [2.373, 1.370, 3.875]], "species": ["Ni", "Ho", "Ce"], "fractional_positions": [[0.250, 0.250, 0.250], [0.000, 0.000, 0.000], [0.500, 0.500, 0.500]], "polymorph_energy_ev_per_fu": 0.61, "e_tot_ev_per_atom": -5.48, "formation_enthalpy_0k_ev_per_atom": -0.051}

5.
{"formula": "DyScCuNi", "functional": "PBE", "state": "relaxed", "lattice_angstrom": [[-2.322, -0.971, 2.470], [2.303, -3.556, 0.768], [3.814, 2.952, 2.228]], "species": ["Sc", "Ni", "Dy", "Cu"], "fractional_positions": [[0.135, 0.000, 0.269], [0.431, 0.000, 0.862], [0.858, 0.500, 0.716], [0.576, 0.500, 0.153]], "polymorph_energy_ev_per_fu": 0.00, "e_tot_ev_per_atom": -5.56, "formation_enthalpy_0k_ev_per_atom": -0.357}

6.
{"formula": "Li2S2O7", "functional": "PBE", "state": "relaxed", "lattice_angstrom": [[-2.751, 4.592, 1.049], [-3.231, -2.081, -3.870], [-2.083, -5.385, 7.509]], "species": ["Li", "Li", "Li", "Li", "O", "O", "O", "O", "O", "O", "O", "O", "O", "O", "O", "O", "O", "O", "S", "S", "S", "S"], "fractional_positions": [[0.732, 0.368, 0.974], [0.632, 0.268, 0.526], [0.268, 0.632, 0.026], [0.368, 0.732, 0.474], [0.659, 0.650, 0.640], [0.616, 0.911, 0.378], [0.384, 0.089, 0.622], [0.114, 0.886, 0.750], [0.010, 0.758, 0.363], [0.650, 0.659, 0.140], [0.341, 0.350, 0.360], [0.089, 0.384, 0.122], [0.911, 0.616, 0.878], [0.990, 0.242, 0.637], [0.242, 0.990, 0.137], [0.758, 0.010, 0.863], [0.350, 0.341, 0.860], [0.886, 0.114, 0.250], [0.788, 0.834, 0.287], [0.834, 0.788, 0.787], [0.212, 0.166, 0.713], [0.166, 0.212, 0.213]], "polymorph_energy_ev_per_fu": 0.23, "e_tot_ev_per_atom": -5.88, "e_form_raw_mev_per_atom": -1629}

7.
{"formula": "Er8PuSc5", "functional": "PBE", "state": "relaxed", "lattice_angstrom": [[-4.873, -6.378, -1.023], [6.736, -0.737, -4.421], [1.714, 0.287, 7.902]], "species": ["Er", "Er", "Er", "Er", "Er", "Er", "Er", "Er", "Sc", "Sc", "Sc", "Sc", "Sc", "Pu"], "fractional_positions": [[0.523, 0.605, 0.263], [0.928, 0.084, 0.656], [0.737, 0.260, 0.342], [0.156, 0.728, 0.072], [0.572, 0.916, 0.844], [0.344, 0.272, 0.428], [0.658, 0.395, 0.918], [0.082, 0.740, 0.477], [0.875, 0.907, 0.184], [0.500, 0.000, 0.500], [0.277, 0.093, 0.968], [0.816, 0.691, 0.723], [0.032, 0.309, 0.125], [0.250, 0.500, 0.750]], "e_tot_ev_per_atom": -5.60, "formation_enthalpy_0k_ev_per_atom": 0.288}

8.
{"formula": "AgHPd3", "functional": "PBE", "state": "relaxed", "lattice_angstrom": [[5.740, 0.069, -0.014], [-0.125, 5.739, -0.012], [-0.033, -0.036, 4.099]], "species": ["Pd", "Pd", "Pd", "Pd", "Pd", "Pd", "H", "H", "Ag", "Ag"], "fractional_positions": [[0.900, 0.444, 0.602], [0.157, 0.193, 0.081], [0.408, 0.935, 0.602], [0.159, 0.703, 0.082], [0.667, 0.195, 0.082], [0.409, 0.445, 0.603], [0.144, 0.458, 0.342], [0.422, 0.180, 0.342], [0.657, 0.693, 0.098], [0.910, 0.945, 0.586]], "polymorph_energy_ev_per_fu": 0.08, "e_tot_ev_per_atom": -4.41}

9.
{"formula": "Pa2Pd2Pt7", "functional": "PBE", "state": "relaxed", "lattice_angstrom": [[-3.001, -1.704, 2.508], [3.785, -5.599, -2.473], [5.817, 0.631, 4.191]], "species": ["Pa", "Pa", "Pt", "Pt", "Pt", "Pt", "Pt", "Pt", "Pt", "Pd", "Pd"], "fractional_positions": [[0.000, 0.755, 0.245], [0.000, 0.245, 0.755], [0.654, 0.412, 0.412], [0.302, 0.615, 0.988], [0.302, 0.988, 0.615], [0.698, 0.012, 0.385], [0.500, 0.000, 0.000], [0.346, 0.588, 0.588], [0.698, 0.385, 0.012], [0.167, 0.180, 0.180], [0.833, 0.820, 0.820]], "e_tot_ev_per_atom": -7.13, "formation_enthalpy_0k_ev_per_atom": -0.618}

10.
{"formula": "KPmO2", "functional": "PBE", "state": "relaxed", "lattice_angstrom": [[3.604, 0.000, 0.000], [-1.802, 3.121, 0.000], [0.000, 0.000, 12.672]], "species": ["K", "K", "O", "O", "O", "O", "Pm", "Pm"], "fractional_positions": [[0.667, 0.333, 0.250], [0.333, 0.667, 0.750], [0.667, 0.333, 0.905], [0.333, 0.667, 0.095], [0.333, 0.667, 0.405], [0.667, 0.333, 0.595], [0.000, 0.000, 0.500], [0.000, 0.000, 0.000]], "polymorph_energy_ev_per_fu": 0.02, "e_tot_ev_per_atom": -6.58, "e_form_raw_mev_per_atom": -2640}

11.
{"formula": "NdTmUO6", "functional": "PBE", "state": "relaxed", "lattice_angstrom": [[-1.903, 2.365, 4.902], [-3.250, -3.859, -2.790], [4.180, -7.206, 5.099]], "species": ["O", "O", "O", "O", "O", "O", "O", "O", "O", "O", "O", "O", "U", "U", "Tm", "Tm", "Nd", "Nd"], "fractional_positions": [[0.657, 0.018, 0.362], [0.361, 0.018, 0.138], [0.639, 0.982, 0.862], [0.361, 0.343, 0.362], [0.639, 0.657, 0.638], [0.343, 0.982, 0.638], [0.982, 0.639, 0.362], [0.343, 0.361, 0.862], [0.982, 0.343, 0.138], [0.657, 0.639, 0.138], [0.018, 0.657, 0.862], [0.018, 0.361, 0.638], [0.667, 0.333, 0.250], [0.333, 0.667, 0.750], [0.667, 0.333, 0.750], [0.333, 0.667, 0.250], [0.000, 0.000, 0.000], [0.000, 0.000, 0.500]], "e_tot_ev_per_atom": -8.94, "e_form_raw_mev_per_atom": -3358}

12.
{"formula": "Nd2Sm6Y", "functional": "PBE", "state": "relaxed", "lattice_angstrom": [[-3.325, 0.215, 1.481], [0.469, -1.709, -3.187], [4.319, -23.162, 13.059]], "species": ["Sm", "Sm", "Sm", "Sm", "Sm", "Sm", "Nd", "Nd", "Y"], "fractional_positions": [[0.667, 0.333, 0.108], [0.333, 0.667, 0.216], [0.333, 0.667, 0.437], [0.333, 0.667, 0.563], [0.333, 0.667, 0.784], [0.667, 0.333, 0.892], [0.667, 0.333, 0.329], [0.667, 0.333, 0.671], [0.333, 0.667, 0.000]], "polymorph_energy_ev_per_fu": 0.05, "e_tot_ev_per_atom": -4.86, "formation_enthalpy_0k_ev_per_atom": 0.059}

Copy entry 5 word for word.
{"formula": "DyScCuNi", "functional": "PBE", "state": "relaxed", "lattice_angstrom": [[-2.322, -0.971, 2.470], [2.303, -3.556, 0.768], [3.814, 2.952, 2.228]], "species": ["Sc", "Ni", "Dy", "Cu"], "fractional_positions": [[0.135, 0.000, 0.269], [0.431, 0.000, 0.862], [0.858, 0.500, 0.716], [0.576, 0.500, 0.153]], "polymorph_energy_ev_per_fu": 0.00, "e_tot_ev_per_atom": -5.56, "formation_enthalpy_0k_ev_per_atom": -0.357}